{"formula": "Sr2ZnNi", "functional": "PBE", "state": "relaxed", "formation_energy_ev_per_atom": -0.1390, "dos_at_fermi_per_ev_cell": 2.419, "magnetic_moment_mub_per_fu": 0.00, "lattice": [[-2.8490, 2.9353, -1.4693], [-3.1890, -3.2246, -0.2585], [-3.2200, -0.4388, 5.3673]], "species": ["Ni", "Zn", "Sr", "Sr"], "fractional_positions": [[0.5000, 0.5759, 0.7226], [0.0000, 0.6767, 0.5221], [0.5000, 0.2640, 0.3474], [0.0000, 0.9835, 0.9079]]}



{"formula": "Sr2Zn3Ni2", "functional": "PBE", "state": "relaxed", "formation_energy_ev_per_atom": -0.2158, "dos_at_fermi_per_ev_cell": 3.802, "magnetic_moment_mub_per_fu": 0.00, "lattice": [[4.0687, 0.0000, 0.0000], [-2.0344, 5.4426, -0.3099], [0.0000, -3.2112, 6.6889]], "species": ["Sr", "Sr", "Zn", "Zn", "Zn", "Ni", "Ni"], "fractional_positions": [[0.8653, 0.7305, 0.2351], [0.1347, 0.2695, 0.7649], [0.5000, 0.0000, 0.0000], [0.6618, 0.3236, 0.4285], [0.3382, 0.6764, 0.5715], [0.1236, 0.2472, 0.1967], [0.8764, 0.7528, 0.8033]]}



{"formula": "Sr3Zn4Ni2", "functional": "PBE", "state": "relaxed", "formation_energy_ev_per_atom": -0.1542, "dos_at_fermi_per_ev_cell": 9.811, "magnetic_moment_mub_per_fu": 0.10, "lattice": [[-1.3706, -1.6127, 3.7850], [3.7823, -1.3064, -1.6712], [12.3884, 19.4997, 12.7942]], "species": ["Ni", "Ni", "Ni", "Ni", "Sr", "Sr", "Sr", "Sr", "Sr", "Sr", "Zn", "Zn", "Zn", "Zn", "Zn", "Zn", "Zn", "Zn"], "fractional_positions": [[0.0000, 0.0000, 0.8354], [0.6667, 0.3333, 0.1666], [0.0000, 0.0000, 0.4977], [0.0000, 0.0000, 0.1666], [0.3333, 0.6667, 0.7554], [0.3333, 0.6667, 0.9152], [0.3333, 0.6667, 0.4182], [0.3333, 0.6667, 0.2409], [0.3333, 0.6667, 0.0925], [0.3333, 0.6667, 0.5779], [0.6667, 0.3333, 0.3313], [0.6667, 0.3333, 0.0022], [0.0000, 0.0000, 0.6666], [0.6667, 0.3333, 0.8353], [0.6667, 0.3333, 0.4980], [0.0000, 0.0000, 0.3315], [0.6667, 0.3333, 0.6666], [0.0000, 0.0000, 0.0020]]}



{"formula": "SrZnNi", "functional": "PBE", "state": "relaxed", "formation_energy_ev_per_atom": 0.6073, "dos_at_fermi_per_ev_cell": 3.368, "magnetic_moment_mub_per_fu": 0.04, "lattice": [[4.9124, 0.0000, 0.0000], [2.4562, 4.2543, 0.0000], [2.4562, 1.4181, 4.0110]], "species": ["Ni", "Zn", "Sr"], "fractional_positions": [[0.5000, 0.5000, 0.5000], [0.0000, 0.0000, 0.0000], [0.2500, 0.2500, 0.2500]]}



{"formula": "Sr2Zn4Ni", "functional": "PBE", "state": "relaxed", "formation_energy_ev_per_atom": -0.1230, "dos_at_fermi_per_ev_cell": 5.175, "magnetic_moment_mub_per_fu": 0.00, "lattice": [[4.6978, 0.0000, 0.0000], [0.0000, 4.6978, 0.0000], [2.3489, 2.3489, 8.0371]], "species": ["Zn", "Zn", "Zn", "Zn", "Sr", "Sr", "Ni"], "fractional_positions": [[0.8554, 0.8554, 0.2893], [0.0000, 0.5000, 0.0000], [0.5000, 0.0000, 0.0000], [0.1446, 0.1446, 0.7107], [0.6499, 0.6499, 0.7001], [0.3501, 0.3501, 0.2999], [0.0000, 0.0000, 0.0000]]}



{"formula": "SrZnNi", "functional": "PBE", "state": "relaxed", "formation_energy_ev_per_atom": -0.1020, "dos_at_fermi_per_ev_cell": 3.015, "magnetic_moment_mub_per_fu": 0.00, "lattice": [[4.7831, -0.0044, -0.0031], [2.3863, 5.5466, 0.3486], [2.3862, 1.5690, 5.3326]], "species": ["Sr", "Sr", "Ni", "Ni", "Zn", "Zn"], "fractional_positions": [[0.9607, 0.7678, 0.9548], [0.4607, 0.2678, 0.4548], [0.4609, 0.2678, 0.9548], [0.9609, 0.2678, 0.9548], [0.7107, 0.6083, 0.6143], [0.2106, 0.9273, 0.2952]]}



{"formula": "SrZnNi", "functional": "PBE", "state": "relaxed", "formation_energy_ev_per_atom": -0.0441, "dos_at_fermi_per_ev_cell": 3.225, "magnetic_moment_mub_per_fu": 0.00, "lattice": [[4.7908, 0.0000, 0.0000], [0.0000, 4.6135, 0.0000], [0.0000, 2.3068, 7.0922]], "species": ["Zn", "Zn", "Ni", "Ni", "Sr", "Sr"], "fractional_positions": [[0.7500, 0.8526, 0.2948], [0.2500, 0.1474, 0.7052], [0.5000, 0.0000, 0.0000], [0.0000, 0.0000, 0.0000], [0.2500, 0.3823, 0.2353], [0.7500, 0.6177, 0.7647]]}



{"formula": "Sr2Zn5Ni5", "functional": "PBE", "state": "relaxed", "formation_energy_ev_per_atom": -0.2162, "dos_at_fermi_per_ev_cell": 4.797, "magnetic_moment_mub_per_fu": 0.00, "lattice": [[-2.1636, 1.6017, -2.9148], [-2.5744, -4.6289, -0.6327], [-6.3656, 2.6922, 6.2044]], "species": ["Ni", "Ni", "Ni", "Ni", "Ni", "Zn", "Zn", "Zn", "Zn", "Zn", "Sr", "Sr"], "fractional_positions": [[0.5000, 0.2525, 0.2523], [0.5000, 0.5000, 0.5000], [0.5000, 0.7475, 0.7477], [0.5000, 0.7475, 0.2523], [0.5000, 0.2525, 0.7477], [0.0000, 0.5000, 0.3331], [0.0000, 0.0000, 0.8206], [0.5000, 0.0000, 0.0000], [0.0000, 0.0000, 0.1794], [0.0000, 0.5000, 0.6669], [0.0000, 0.5000, 0.0000], [0.0000, 0.0000, 0.5000]]}